Material: Ac3TbNd12
Method: DFT, PBE-GGA
State: optimized geometry

The uncorrected energy comes out at -0.33900 Ry per atom. The total magnetization comes out at 0.00 μB/f.u. Its formation energy is 23.2 meV per atom. Its space group is No. 123. The value obtained for the density of states at the Fermi level is 1.670 states/eV/atom.

```
Ac3TbNd12
1.0
-2.7532 -1.0315 -4.3790
4.4961 -0.8118 -2.6356
-0.6333 -20.4031 5.2042
Nd Ac Tb
12 3 1
Direct
0.0000 0.5000 0.1200
0.5000 0.0000 0.3737
0.5000 0.0000 0.1200
0.5000 0.0000 0.8800
0.5000 0.5000 0.5000
0.5000 0.0000 0.6263
0.0000 0.5000 0.6263
0.0000 0.5000 0.3737
0.5000 0.5000 0.7537
0.0000 0.5000 0.8800
0.5000 0.5000 0.0000
0.5000 0.5000 0.2463
0.0000 0.0000 0.2474
0.0000 0.0000 0.7526
0.0000 0.0000 0.5000
0.0000 0.0000 0.0000
```

=====

Material: AcTb4Nd
Method: DFT, PBE-GGA
State: optimized geometry

The uncorrected energy comes out at -0.31540 Ry per atom. The total magnetization comes out at 0.00 μB/f.u. Its formation energy is 275.0 meV per atom. The calculation puts the energy above the lowest structure with this stoichiometry at 238 meV per atom. Its space group is No. 63. The value obtained for the density of states at the Fermi level is 1.792 states/eV/atom.

```
AcTb4Nd
1.0
-3.1450 -5.8086 0.7319
4.1007 0.9843 -5.1364
8.5529 -3.8637 6.0879
Nd Tb Ac
2 8 2
Direct
0.1729 0.8271 0.7500
0.8271 0.1729 0.2500
0.3360 0.6640 0.0769
0.3360 0.6640 0.4231
0.1694 0.3451 0.7500
0.6640 0.3360 0.9231
0.3451 0.1694 0.2500
0.6549 0.8306 0.7500
0.8306 0.6549 0.2500
0.6640 0.3360 0.5769
0.0000 0.0000 0.5000
0.0000 0.0000 0.0000
```

=====

Material: Ac2Tb3Nd5
Method: DFT, PBE-GGA
State: optimized geometry

The uncorrected energy comes out at -0.32275 Ry per atom. The total magnetization comes out at 0.00 μB/f.u. Its formation energy is 203.5 meV per atom. Its space group is No. 15. The value obtained for the density of states at the Fermi level is 1.619 states/eV/atom.

```
Ac2Tb3Nd5
1.0
-3.0867 6.3438 -8.6809
1.6859 -3.7052 -9.6747
-5.8098 -4.4164 9.2294
Ac Nd Tb
4 10 6
Direct
0.7975 0.0043 0.7495
0.4520 0.7452 0.7495
0.2025 0.9957 0.2505
0.5480 0.2548 0.2505
0.5803 0.8399 0.2401
0.5247 0.2747 0.5495
0.7436 0.4936 0.9871
0.8402 0.5998 0.7599
0.0011 0.2511 0.5021
0.1598 0.4002 0.2401
0.2564 0.5064 0.0129
0.4753 0.7253 0.4505
0.9989 0.7489 0.4979
0.4197 0.1601 0.7599
0.0341 0.7860 0.2508
0.7696 0.0196 0.0393
0.9659 0.2140 0.7492
0.2833 0.5352 0.7492
0.7167 0.4648 0.2508
0.2304 0.9804 0.9607
```

=====

Material: Ac5TbNd2
Method: DFT, PBE-GGA
State: optimized geometry

The uncorrected energy comes out at -0.31626 Ry per atom. The total magnetization comes out at 0.00 μB/f.u. Its formation energy is 35.6 meV per atom. Its space group is No. 55. The value obtained for the density of states at the Fermi level is 1.684 states/eV/atom.

```
Ac5TbNd2
1.0
-2.9980 -4.4641 -1.3011
4.2587 -4.2434 4.7468
-9.6690 3.1456 11.4866
Ac Nd Tb
10 4 2
Direct
0.0000 0.0000 0.0000
0.0000 0.9881 0.2543
0.5000 0.2604 0.8790
0.5000 0.7396 0.1210
0.0000 0.5119 0.7543
0.0000 0.4881 0.2457
0.0000 0.5000 0.5000
0.0000 0.0119 0.7457
0.5000 0.7604 0.6210
0.5000 0.2396 0.3790
0.5000 0.7431 0.3762
0.5000 0.2569 0.6238
0.5000 0.2431 0.1238
0.5000 0.7569 0.8762
0.0000 0.5000 0.0000
0.0000 0.0000 0.5000
```